Run P
{"formula": "Ti2Te2Pb", "functional": "GGA-PBE", "state": "optimized geometry", "lattice_angstrom": [[3.978, 0.000, 0.000], [0.000, 3.978, 0.000], [1.989, 1.989, 8.042]], "species": ["Te", "Ti", "Ti", "Te", "Pb"], "frac_coords": [[0.625, 0.625, 0.750], [0.750, 0.250, 0.500], [0.250, 0.750, 0.500], [0.375, 0.375, 0.250], [0.000, 0.000, 0.000]], "n_ef_per_ev_fu": 4.16, "space_group": "No. 139"}


Run Q
{"formula": "Ti2Te2Pb", "functional": "GGA-PBE", "state": "optimized geometry", "lattice_angstrom": [[7.932, 0.000, 0.000], [0.000, 7.932, 0.000], [0.000, 0.000, 3.566]], "species": ["Pb", "Ti", "Te", "Ti", "Te", "Te", "Ti", "Pb", "Ti", "Te"], "frac_coords": [[0.000, 0.000, 0.000], [0.141, 0.359, 0.000], [0.646, 0.854, 0.500], [0.359, 0.859, 0.000], [0.854, 0.354, 0.500], [0.146, 0.646, 0.500], [0.859, 0.641, 0.000], [0.500, 0.500, 0.000], [0.641, 0.141, 0.000], [0.354, 0.146, 0.500]], "n_ef_per_ev_fu": 2.47, "space_group": "No. 127"}


run Q has the most favorable energy; the next structure is 9.1 kJ/mol of atoms above.


Run P
{"formula": "Tl2TePb2", "functional": "GGA-PBE", "state": "optimized geometry", "lattice_angstrom": [[8.767, 0.000, 0.000], [0.000, 8.767, 0.000], [0.000, 0.000, 4.219]], "species": ["Pb", "Te", "Tl", "Tl", "Tl", "Pb", "Te", "Pb", "Tl", "Pb"], "frac_coords": [[0.316, 0.184, 0.500], [0.000, 0.000, 0.000], [0.626, 0.126, 0.000], [0.374, 0.874, 0.000], [0.126, 0.374, 0.000], [0.684, 0.816, 0.500], [0.500, 0.500, 0.000], [0.816, 0.316, 0.500], [0.874, 0.626, 0.000], [0.184, 0.684, 0.500]], "n_ef_per_ev_fu": 2.65, "space_group": "No. 127"}


Run Q
{"formula": "Tl2TePb2", "functional": "GGA-PBE", "state": "optimized geometry", "lattice_angstrom": [[4.397, 0.000, 0.000], [0.000, 4.397, 0.000], [2.199, 2.199, 8.633]], "species": ["Pb", "Tl", "Pb", "Tl", "Te"], "frac_coords": [[0.409, 0.409, 0.181], [0.250, 0.750, 0.500], [0.591, 0.591, 0.819], [0.750, 0.250, 0.500], [0.000, 0.000, 0.000]], "n_ef_per_ev_fu": 3.10, "space_group": "No. 139"}


run Q has the most favorable energy; the next structure is 4.6 kJ/mol of atoms above.


Run P
{"formula": "Tl2TePb2", "functional": "GGA-PBE", "state": "optimized geometry", "lattice_angstrom": [[4.408, 0.000, 0.000], [0.000, 4.408, 0.000], [2.204, 2.204, 8.875]], "species": ["Te", "Pb", "Tl", "Tl", "Pb"], "frac_coords": [[0.000, 0.000, 0.000], [0.250, 0.750, 0.500], [0.409, 0.409, 0.181], [0.591, 0.591, 0.819], [0.750, 0.250, 0.500]], "n_ef_per_ev_fu": 4.32, "space_group": "No. 139"}


Run Q
{"formula": "Tl2TePb2", "functional": "GGA-PBE", "state": "optimized geometry", "lattice_angstrom": [[8.425, 0.000, 0.000], [0.000, 8.425, 0.000], [0.000, 0.000, 4.747]], "species": ["Te", "Tl", "Tl", "Pb", "Te", "Pb", "Pb", "Tl", "Pb", "Tl"], "frac_coords": [[0.500, 0.500, 0.000], [0.333, 0.167, 0.500], [0.833, 0.333, 0.500], [0.640, 0.140, 0.000], [0.000, 0.000, 0.000], [0.140, 0.360, 0.000], [0.360, 0.860, 0.000], [0.667, 0.833, 0.500], [0.860, 0.640, 0.000], [0.167, 0.667, 0.500]], "n_ef_per_ev_fu": 4.16, "space_group": "No. 127"}


run Q has the most favorable energy; the next structure is 8.0 kJ/mol of atoms above.


Run P
{"formula": "Tl5Te4Pb", "functional": "GGA-PBE", "state": "optimized geometry", "lattice_angstrom": [[-3.804, 2.648, 0.152], [-2.048, -2.523, -7.301], [-1.740, -7.086, 9.167]], "species": ["Te", "Tl", "Tl", "Te", "Te", "Pb", "Te", "Tl", "Tl", "Tl"], "frac_coords": [[0.063, 0.325, 0.125], [0.500, 0.500, 0.000], [0.185, 0.772, 0.369], [0.634, 0.959, 0.268], [0.366, 0.041, 0.732], [0.500, 0.000, 0.000], [0.937, 0.675, 0.875], [0.194, 0.293, 0.388], [0.806, 0.707, 0.612], [0.815, 0.228, 0.631]], "n_ef_per_ev_fu": 4.06, "space_group": "No. 12"}


Run Q
{"formula": "Tl5Te4Pb", "functional": "GGA-PBE", "state": "optimized geometry", "lattice_angstrom": [[-3.222, 3.420, 0.933], [-3.984, -5.252, 5.498], [7.659, 2.680, 4.326]], "species": ["Pb", "Tl", "Tl", "Tl", "Te", "Tl", "Te", "Tl", "Te", "Te"], "frac_coords": [[0.500, 0.000, 0.000], [0.143, 0.447, 0.286], [0.857, 0.553, 0.714], [0.500, 0.500, 0.000], [0.683, 0.238, 0.367], [0.305, 0.147, 0.611], [0.317, 0.762, 0.633], [0.695, 0.853, 0.389], [0.055, 0.792, 0.110], [0.945, 0.208, 0.890]], "n_ef_per_ev_fu": 5.81, "space_group": "No. 12"}


run P has the most favorable energy; the next structure is 1.2 kJ/mol of atoms above.


Run P
{"formula": "Tl2Te2Pb", "functional": "GGA-PBE", "state": "optimized geometry", "lattice_angstrom": [[8.867, 0.000, 0.000], [0.000, 8.867, 0.000], [0.000, 0.000, 4.403]], "species": ["Pb", "Te", "Tl", "Te", "Pb", "Tl", "Tl", "Tl", "Te", "Te"], "frac_coords": [[0.500, 0.500, 0.000], [0.172, 0.328, 0.000], [0.364, 0.136, 0.500], [0.672, 0.172, 0.000], [0.000, 0.000, 0.000], [0.636, 0.864, 0.500], [0.864, 0.364, 0.500], [0.136, 0.636, 0.500], [0.328, 0.828, 0.000], [0.828, 0.672, 0.000]], "n_ef_per_ev_fu": 3.84, "space_group": "No. 127"}


Run Q
{"formula": "Tl2Te2Pb", "functional": "GGA-PBE", "state": "optimized geometry", "lattice_angstrom": [[8.098, 0.000, 0.102], [0.000, 9.249, 0.000], [-0.859, 0.000, 10.443]], "species": ["Tl", "Tl", "Pb", "Pb", "Te", "Pb", "Te", "Tl", "Te", "Tl", "Te", "Te", "Pb", "Tl", "Tl", "Tl", "Te", "Te", "Te", "Tl"], "frac_coords": [[0.502, 0.783, 0.323], [0.002, 0.717, 0.323], [0.862, 0.120, 0.351], [0.138, 0.880, 0.649], [0.235, 0.049, 0.412], [0.638, 0.620, 0.649], [0.752, 0.921, 0.113], [0.026, 0.262, 0.073], [0.765, 0.951, 0.588], [0.998, 0.283, 0.677], [0.748, 0.421, 0.887], [0.252, 0.579, 0.113], [0.362, 0.380, 0.351], [0.526, 0.238, 0.073], [0.974, 0.738, 0.927], [0.498, 0.217, 0.677], [0.735, 0.451, 0.412], [0.265, 0.549, 0.588], [0.248, 0.079, 0.887], [0.474, 0.762, 0.927]], "space_group": "No. 14"}


Run R
{"formula": "Tl2Te2Pb", "functional": "GGA-PBE", "state": "optimized geometry", "lattice_angstrom": [[-7.984, 3.179, 1.571], [0.741, -2.291, 8.398], [1.722, 3.877, 0.906]], "species": ["Te", "Tl", "Te", "Te", "Tl", "Te", "Tl", "Pb", "Tl", "Pb"], "frac_coords": [[0.311, 0.189, 0.500], [0.124, 0.376, 0.000], [0.811, 0.311, 0.500], [0.189, 0.689, 0.500], [0.376, 0.876, 0.000], [0.689, 0.811, 0.500], [0.876, 0.624, 0.000], [0.500, 0.500, 0.000], [0.624, 0.124, 0.000], [0.000, 0.000, 0.000]], "n_ef_per_ev_fu": 3.06, "space_group": "No. 127"}


Run S
{"formula": "Tl2Te2Pb", "functional": "GGA-PBE", "state": "optimized geometry", "lattice_angstrom": [[-2.386, -3.164, 2.028], [2.298, 0.673, 3.753], [-5.780, 4.653, 5.345]], "species": ["Tl", "Pb", "Te", "Te", "Tl"], "frac_coords": [[0.250, 0.750, 0.500], [0.000, 0.000, 0.000], [0.595, 0.595, 0.810], [0.405, 0.405, 0.190], [0.750, 0.250, 0.500]], "n_ef_per_ev_fu": 1.77, "space_group": "No. 139"}


run Q has the most favorable energy; the next structure is 9.5 kJ/mol of atoms above.


Run P
{"formula": "Tl2Te2Pb", "functional": "GGA-PBE", "state": "optimized geometry", "lattice_angstrom": [[4.632, 0.000, -0.841], [-0.462, 7.679, -2.543], [-0.331, -1.618, 11.355]], "species": ["Te", "Te", "Tl", "Pb", "Tl", "Tl", "Te", "Te", "Tl", "Pb"], "frac_coords": [[0.842, 0.700, 0.684], [0.343, 0.200, 0.686], [0.931, 0.142, 0.863], [0.750, 0.250, 0.501], [0.431, 0.643, 0.862], [0.569, 0.357, 0.138], [0.158, 0.300, 0.316], [0.657, 0.800, 0.314], [0.069, 0.858, 0.137], [0.250, 0.750, 0.499]], "n_ef_per_ev_fu": 0.04, "space_group": "No. 12"}


Run Q
{"formula": "Tl2Te2Pb", "functional": "GGA-PBE", "state": "optimized geometry", "lattice_angstrom": [[4.329, 0.000, 0.000], [0.000, 4.329, 0.000], [2.165, 2.165, 9.225]], "species": ["Te", "Pb", "Tl", "Te", "Tl"], "frac_coords": [[0.250, 0.750, 0.500], [0.000, 0.000, 0.000], [0.403, 0.403, 0.194], [0.750, 0.250, 0.500], [0.597, 0.597, 0.806]], "n_ef_per_ev_fu": 4.95, "space_group": "No. 139"}


run P has the most favorable energy; the next structure is 39.7 kJ/mol of atoms above.


Run P
{"formula": "Tm2TePb", "functional": "GGA-PBE", "state": "optimized geometry", "lattice_angstrom": [[3.663, 0.000, 0.000], [0.000, 3.663, 0.000], [0.000, 0.000, 8.072]], "species": ["Tm", "Tm", "Te", "Pb"], "frac_coords": [[0.000, 0.000, 0.764], [0.000, 0.000, 0.236], [0.500, 0.500, 0.000], [0.500, 0.500, 0.500]], "n_ef_per_ev_fu": 2.97, "space_group": "No. 123"}


Run Q
{"formula": "Tm2TePb", "functional": "GGA-PBE", "state": "optimized geometry", "lattice_angstrom": [[-3.503, -2.542, 0.247], [0.294, -4.202, -1.027], [0.593, -3.854, 6.789]], "species": ["Tm", "Tm", "Te", "Pb"], "frac_coords": [[0.078, 0.078, 0.767], [0.256, 0.256, 0.231], [0.498, 0.498, 0.507], [0.668, 0.668, 0.995]], "n_ef_per_ev_fu": 1.87, "space_group": "No. 160"}


run Q has the most favorable energy; the next structure is 6.8 kJ/mol of atoms above.


Run P
{"formula": "Tm2TePb", "functional": "GGA-PBE", "state": "optimized geometry", "lattice_angstrom": [[-3.640, -2.422, 4.345], [-3.011, -3.213, -4.313], [7.940, -9.364, 1.433]], "species": ["Pb", "Te", "Pb", "Tm", "Pb", "Tm", "Te", "Tm", "Te", "Tm", "Pb", "Tm", "Te", "Tm", "Tm", "Tm"], "frac_coords": [[0.250, 0.000, 0.875], [0.250, 0.000, 0.375], [0.750, 0.500, 0.375], [0.250, 0.500, 0.378], [0.250, 0.500, 0.625], [0.750, 0.500, 0.128], [0.750, 0.500, 0.875], [0.750, 0.000, 0.878], [0.750, 0.000, 0.625], [0.250, 0.000, 0.122], [0.750, 0.000, 0.125], [0.750, 0.000, 0.372], [0.250, 0.500, 0.125], [0.250, 0.500, 0.872], [0.750, 0.500, 0.622], [0.250, 0.000, 0.628]], "n_ef_per_ev_fu": 0.74, "space_group": "No. 141"}


Run Q
{"formula": "Tm2TePb", "functional": "GGA-PBE", "state": "optimized geometry", "lattice_angstrom": [[4.378, 0.000, -0.004], [-2.188, 3.792, 0.004], [-2.184, -1.267, 7.140]], "species": ["Te", "Tm", "Tm", "Pb"], "frac_coords": [[0.000, 0.500, 0.500], [0.491, 0.746, 0.237], [0.509, 0.254, 0.763], [0.000, 0.000, 0.000]], "n_ef_per_ev_fu": 0.89, "space_group": "No. 166"}


run P has the most favorable energy; the next structure is 2.3 kJ/mol of atoms above.


Run P
{"formula": "Tm5TePb4", "functional": "GGA-PBE", "state": "optimized geometry", "lattice_angstrom": [[3.718, 0.000, -0.717], [-0.322, 6.022, -1.672], [0.567, 0.370, 12.937]], "species": ["Pb", "Tm", "Tm", "Tm", "Tm", "Tm", "Te", "Pb", "Pb", "Pb"], "frac_coords": [[0.599, 0.599, 0.199], [0.000, 0.500, 0.000], [0.597, 0.097, 0.194], [0.403, 0.903, 0.806], [0.201, 0.701, 0.402], [0.799, 0.299, 0.598], [0.000, 0.000, 0.000], [0.401, 0.401, 0.801], [0.198, 0.198, 0.395], [0.802, 0.802, 0.605]], "n_ef_per_ev_fu": 6.08, "space_group": "No. 71"}


Run Q
{"formula": "Tm5TePb4", "functional": "GGA-PBE", "state": "optimized geometry", "lattice_angstrom": [[6.197, 0.000, 0.000], [3.098, 6.938, 0.000], [3.098, 0.000, 6.938]], "species": ["Pb", "Pb", "Tm", "Tm", "Tm", "Te", "Pb", "Tm", "Pb", "Tm"], "frac_coords": [[0.800, 0.802, 0.600], [0.202, 0.198, 0.400], [0.703, 0.201, 0.396], [0.501, 0.000, 0.000], [0.099, 0.604, 0.201], [0.001, 0.000, 0.000], [0.400, 0.400, 0.802], [0.903, 0.396, 0.799], [0.602, 0.600, 0.198], [0.300, 0.799, 0.604]], "n_ef_per_ev_fu": 6.54, "space_group": "No. 87"}


run P has the most favorable energy; the next structure is 0.7 kJ/mol of atoms above.


Run P
{"formula": "Tm5Te4Pb", "functional": "GGA-PBE", "state": "optimized geometry", "lattice_angstrom": [[-5.662, 0.457, -2.234], [-1.295, -4.383, -5.953], [-4.881, -4.820, 3.045]], "species": ["Te", "Tm", "Tm", "Tm", "Te", "Te", "Pb", "Te", "Tm", "Tm"], "frac_coords": [[0.804, 0.794, 0.600], [0.502, 0.000, 0.000], [0.102, 0.605, 0.192], [0.294, 0.808, 0.605], [0.404, 0.400, 0.794], [0.198, 0.206, 0.400], [0.002, 0.000, 0.000], [0.598, 0.600, 0.206], [0.708, 0.192, 0.395], [0.899, 0.395, 0.808]], "n_ef_per_ev_fu": 5.40, "space_group": "No. 79"}


Run Q
{"formula": "Tm5Te4Pb", "functional": "GGA-PBE", "state": "optimized geometry", "lattice_angstrom": [[4.320, 0.000, 0.000], [0.000, 4.320, 0.000], [-2.160, -2.160, 15.369]], "species": ["Pb", "Tm", "Tm", "Te", "Te", "Te", "Te", "Tm", "Tm", "Tm"], "frac_coords": [[0.000, 0.000, 0.000], [0.500, 0.500, 0.000], [0.903, 0.903, 0.806], [0.603, 0.603, 0.206], [0.397, 0.397, 0.794], [0.197, 0.197, 0.395], [0.803, 0.803, 0.605], [0.705, 0.705, 0.409], [0.295, 0.295, 0.591], [0.097, 0.097, 0.194]], "n_ef_per_ev_fu": 4.16, "space_group": "No. 139"}


run P has the most favorable energy; the next structure is 1.7 kJ/mol of atoms above.


Run P
{"formula": "VTePb3", "functional": "GGA-PBE", "state": "optimized geometry", "lattice_angstrom": [[5.377, 0.000, 0.000], [0.000, 5.377, 0.000], [0.000, 0.000, 5.377]], "species": ["Te", "Pb", "Pb", "V", "Pb"], "frac_coords": [[0.500, 0.500, 0.500], [0.000, 0.000, 0.500], [0.500, 0.000, 0.000], [0.000, 0.000, 0.000], [0.000, 0.500, 0.000]], "n_ef_per_ev_fu": 7.13, "space_group": "No. 221"}


Run Q
{"formula": "VTePb3", "functional": "GGA-PBE", "state": "optimized geometry", "lattice_angstrom": [[5.959, 0.000, 0.000], [0.000, 5.959, 0.000], [0.000, 0.000, 5.959]], "species": ["V", "Pb", "Pb", "Te", "Pb"], "frac_coords": [[0.500, 0.500, 0.500], [0.000, 0.000, 0.500], [0.500, 0.000, 0.000], [0.000, 0.000, 0.000], [0.000, 0.500, 0.000]], "n_ef_per_ev_fu": 10.13, "space_group": "No. 221"}


run P has the most favorable energy; the next structure is 74.3 kJ/mol of atoms above.